## NiBrO3 (GGA+U)

Data for NiBrO3 after structural relaxation.

POSCAR file:
```
NiBrO3
1.0
3.812 0.000 0.000
0.000 3.812 0.000
0.000 0.000 3.812
Ni Br O
1 1 3
direct
0.000 0.000 0.000 Ni
0.500 0.500 0.500 Br
0.000 0.000 0.500 O
0.000 0.500 0.000 O
0.500 0.000 0.000 O
```

Computed properties:
total DFT energy (no corrections)	-3.423	eV per atom
magnetic moment	1.292	μB per formula unit